The following is a DFT calculation (PBE-GGA) of an optimized crystal structure of TlSi2P2.

a b c (Å): 4.446 4.446 6.318
angles (deg): 69.40 69.40 90.00
Fractional positions:
P 0.331 0.331 0.339
P 0.669 0.669 0.661
Tl 0.000 0.000 0.000
Si 0.750 0.250 0.500
Si 0.250 0.750 0.500

Summary:
**Uncorrected formation energy**: 0.208 eV/atom
**Density**: 4.94 g/cm³
**Energy**: -4.5983 eV per atom